Entry from Alexandria: a geometry-optimized RbTmGa2Br6 structure (GGA-PBE).

Results
Uncorrected formation energy (eV/atom): -1.319
Electronic total energy (eV/cell): -34.7
Space-group type: P1 (1)

```
RbTmGa2Br6
1.0
7.8451 0.0000 0.0000
3.9208 6.8139 0.0000
3.9174 2.2659 7.0361
Rb Tm Ga Br
1 1 2 6
direct
0.0000 0.0000 0.0000
0.5125 0.5127 0.4615
0.1941 0.1936 0.4183
0.7033 0.7025 0.8902
0.1506 0.7446 0.6706
0.3395 0.5602 0.2077
0.4337 0.1507 0.6701
0.5605 0.8908 0.2076
0.7460 0.4332 0.6701
0.8910 0.3409 0.2071
```